Record 1
Material: V2TePbO8
Method: DFT, GGA+U
State: relaxed

Properties
The crystal system is monoclinic.

Cell and atoms, written as POSCAR:
```
V2TePbO8
1.0
-4.540 2.480 -1.496
-4.468 -2.606 1.499
-0.040 3.836 6.514
Te O V Pb
1 8 2 1
direct
0.000 0.000 0.000
0.726 0.726 0.422
0.232 0.232 0.946
0.782 0.277 0.212
0.277 0.782 0.212
0.768 0.768 0.054
0.723 0.218 0.788
0.218 0.723 0.788
0.274 0.274 0.578
0.640 0.640 0.225
0.360 0.360 0.775
0.000 0.000 0.500
```

Record 2
Material: VTe2PbO8
Method: DFT, GGA+U
State: relaxed

Properties
The crystal system is triclinic.

Cell and atoms, written as POSCAR:
```
VTe2PbO8
1.0
-2.956 0.656 4.049
-2.393 -4.398 -0.644
4.269 -3.169 3.946
O V Te Pb
8 1 2 1
direct
0.778 0.157 0.765
0.843 0.225 0.235
0.322 0.320 0.522
0.222 0.843 0.235
0.157 0.775 0.765
0.678 0.680 0.478
0.249 0.247 0.942
0.751 0.753 0.058
0.000 0.000 0.000
0.537 0.535 0.242
0.463 0.465 0.758
0.000 0.000 0.500
```

Record 3
Material: VTePbO6
Method: DFT, GGA+U
State: relaxed

Properties
The crystal system is trigonal.

Cell and atoms, written as POSCAR:
```
VTePbO6
1.0
-0.966 0.646 5.131
4.100 -2.905 -1.560
6.281 8.824 0.072
O Te V Pb
12 2 2 2
direct
0.389 0.387 0.851
0.389 0.001 0.649
0.613 0.001 0.851
0.001 0.389 0.149
0.999 0.611 0.851
0.613 0.611 0.649
0.611 0.613 0.149
0.387 0.389 0.351
0.001 0.613 0.351
0.387 0.999 0.149
0.611 0.999 0.351
0.999 0.387 0.649
0.667 0.333 0.750
0.333 0.667 0.250
0.333 0.667 0.750
0.667 0.333 0.250
0.000 0.000 0.500
0.000 0.000 0.000
```

Number 1: theoretical density 4.66 g/cm³, E -6.6573 eV per atom. Number 2: theoretical density 6.32 g/cm³, E -5.9250 eV per atom. Number 3: theoretical density 6.16 g/cm³, E -6.3355 eV per atom.